# 1
The following is a PBE calculation of crystalline Nd5ThBi4 at its relaxed geometry, from Alexandria via LeMat-Bulk.

Properties
- energy of formation from the pure elements (eV/atom) = -0.503
- volume (Å³/f.u.) = 378
- E (eV per atom) = -5.18

a b c (Å): 19.589 4.525 8.859
angles (deg): 90.00 105.66 90.00
Space group C2/m (No. 12)
Unique sites:
Nd  0.000  0.000  0.000
Nd  0.162  0.500  0.319
Nd  0.181  0.500  0.850
Th  0.000  0.000  0.500
Bi  0.011  0.500  0.760
Bi  0.170  0.000  0.585

# 2
The following is a PBE calculation of crystalline Nd4ThBi6 at its relaxed geometry, from Alexandria via LeMat-Bulk.

Properties
- energy of formation from the pure elements (eV/atom) = -0.668
- volume (Å³/f.u.) = 391
- E (eV per atom) = -5.19

a b c (Å): 4.601 15.678 21.659
angles (deg): 90.00 90.00 90.00
Space group Cmcm (No. 63)
Unique sites:
Nd  0.000  0.093  0.131
Nd  0.000  0.359  0.040
Th  0.000  0.159  0.750
Bi  0.000  0.000  0.000
Bi  0.000  0.202  0.250
Bi  0.000  0.265  0.596
Bi  0.000  0.459  0.176